CeGd2Sb: optimized geometry, PBE-GGA.

Properties
E ... -10.02 eV per atom
Symmetry ... P4/mmm, No. 123
E_form (uncorrected) ... -0.46 eV per atom

Unit cell a=4.0375 b=4.0375 c=7.1549 alpha=90.00 beta=90.00 gamma=90.00
With the nearest neighbours (Å) after each atom.
Element x y z (fractional)
Ce (0.0000, 0.0000, 0.0000)  8 Gd 3.48, 2 Sb 3.58
Gd (0.5000, 0.5000, 0.2770)  1 Gd 3.19, 4 Sb 3.27, 4 Ce 3.48
Gd (0.5000, 0.5000, 0.7230)  1 Gd 3.19, 4 Sb 3.27, 4 Ce 3.48
Sb (0.0000, 0.0000, 0.5000)  8 Gd 3.27, 2 Ce 3.58


B2OsI: optimized geometry, PBE-GGA.

Properties
E ... -5.63 eV per atom
Symmetry ... I-42d, No. 122
E_form (uncorrected) ... 0.90 eV per atom

Unit cell a=6.3297 b=6.3297 c=6.3297 alpha=128.94 beta=128.94 gamma=75.11
With the nearest neighbours (Å) after each atom.
Element x y z (fractional)
B (0.0177, 0.6250, 0.8927)  2 Os 2.01
B (0.3750, 0.2677, 0.3927)  2 Os 2.01
B (0.7323, 0.1250, 0.1073)  2 Os 2.01
B (0.8750, 0.9823, 0.6073)  2 Os 2.01
Os (0.0000, 0.0000, 0.0000)  4 B 2.01
Os (0.7500, 0.2500, 0.5000)  4 B 2.01
I (0.2500, 0.7500, 0.5000)  4 B 2.69
I (0.5000, 0.5000, 0.0000)  4 B 2.69


Mg3Cd3Hg: optimized geometry, PBE-GGA.

Properties
E ... -1.22 eV per atom
Symmetry ... P6_3/m, No. 176
Formation enthalpy at 0 K ... -0.10 eV/atom

Unit cell a=8.3232 b=8.3232 c=5.0453 alpha=90.00 beta=90.00 gamma=120.00
With the nearest neighbours (Å) after each atom.
Element x y z (fractional)
Mg (0.0963, 0.4706, 0.2500)  5 Cd 3.06-3.17, 3 Hg 3.11-3.16, 4 Mg 3.16
Mg (0.3742, 0.9037, 0.2500)  5 Cd 3.06-3.17, 3 Hg 3.11-3.16, 4 Mg 3.16
Mg (0.4706, 0.3742, 0.7500)  5 Cd 3.06-3.17, 3 Hg 3.11-3.16, 4 Mg 3.16
Mg (0.5294, 0.6258, 0.2500)  5 Cd 3.06-3.17, 3 Hg 3.11-3.16, 4 Mg 3.16
Mg (0.6258, 0.0963, 0.7500)  5 Cd 3.06-3.17, 3 Hg 3.11-3.16, 4 Mg 3.16
Mg (0.9037, 0.5294, 0.7500)  5 Cd 3.06-3.17, 3 Hg 3.11-3.16, 4 Mg 3.16
Cd (0.0438, 0.2390, 0.7500)  5 Mg 3.06-3.17, 6 Cd 3.12-3.18, 1 Hg 3.15
Cd (0.1952, 0.9562, 0.7500)  5 Mg 3.06-3.17, 6 Cd 3.12-3.18, 1 Hg 3.15
Cd (0.2390, 0.1952, 0.2500)  5 Mg 3.06-3.17, 6 Cd 3.12-3.18, 1 Hg 3.15
Cd (0.7610, 0.8048, 0.7500)  5 Mg 3.06-3.17, 6 Cd 3.12-3.18, 1 Hg 3.15
Cd (0.8048, 0.0438, 0.2500)  5 Mg 3.06-3.17, 6 Cd 3.12-3.18, 1 Hg 3.15
Cd (0.9562, 0.7610, 0.2500)  5 Mg 3.06-3.17, 6 Cd 3.12-3.18, 1 Hg 3.15
Hg (0.3333, 0.6667, 0.7500)  9 Mg 3.11-3.16, 3 Cd 3.15
Hg (0.6667, 0.3333, 0.2500)  9 Mg 3.11-3.16, 3 Cd 3.15


CaTi3Ru: optimized geometry, PBE-GGA.

Properties
E ... -5.18 eV per atom
Symmetry ... Pm-3m, No. 221
Formation enthalpy at 0 K ... 1.82 eV/atom

Unit cell a=4.4537 b=4.4537 c=4.4537 alpha=90.00 beta=90.00 gamma=90.00
With the nearest neighbours (Å) after each atom.
Element x y z (fractional)
Ca (0.0000, 0.0000, 0.0000)  6 Ti 2.23
Ti (0.0000, 0.0000, 0.5000)  2 Ca 2.23
Ti (0.0000, 0.5000, 0.0000)  2 Ca 2.23
Ti (0.5000, 0.0000, 0.0000)  2 Ca 2.23
Ru (0.5000, 0.5000, 0.5000)  12 Ti 3.15


Zn3N2: optimized geometry, PBE-GGA.

Properties
E ... -3.95 eV per atom
Symmetry ... C2/m, No. 12
E_form (uncorrected) ... 0.14 eV per atom

Unit cell a=6.3854 b=6.3854 c=6.3747 alpha=102.51 beta=102.51 gamma=30.22
With the nearest neighbours (Å) after each atom.
Element x y z (fractional)
Zn (0.0353, 0.0353, 0.2673)  3 N 1.95-2.09
Zn (0.1884, 0.1884, 0.6032)  2 N 1.98-2.09
Zn (0.3497, 0.3497, 0.9737)  3 N 1.96-2.12
Zn (0.6503, 0.6503, 0.0263)  3 N 1.96-2.12
Zn (0.8116, 0.8116, 0.3968)  2 N 1.98-2.09
Zn (0.9647, 0.9647, 0.7327)  3 N 1.95-2.09
N (0.1237, 0.1237, 0.8605)  4 Zn 1.95-1.98
N (0.3615, 0.3615, 0.6471)  6 Zn 2.09-2.29
N (0.6385, 0.6385, 0.3529)  6 Zn 2.09-2.29
N (0.8763, 0.8763, 0.1395)  4 Zn 1.95-1.98


BaAgP2: optimized geometry, PBE-GGA.

Properties
E ... -4.25 eV per atom
Symmetry ... Pm, No. 6
Formation enthalpy at 0 K ... -0.35 eV/atom

Unit cell a=5.0009 b=4.2864 c=5.1107 alpha=90.00 beta=103.53 gamma=90.00
With the nearest neighbours (Å) after each atom.
Element x y z (fractional)
Ba (0.0000, 0.0000, 0.0000)  7 P 3.12-3.43
Ag (0.6403, 0.5000, 0.4465)  4 P 2.45-2.71
P (0.1418, 0.5000, 0.5256)  2 P 2.44, 2 Ag 2.45-2.62
P (0.3809, 0.0000, 0.5965)  2 P 2.44, 2 Ag 2.71


TbCe4Th: optimized geometry, PBE-GGA.

Properties
E ... -5.77 eV per atom
Symmetry ... F-43m, No. 216
Formation enthalpy at 0 K ... 0.19 eV/atom

Unit cell a=6.2579 b=6.2579 c=6.2579 alpha=60.00 beta=60.00 gamma=60.00
With the nearest neighbours (Å) after each atom.
Element x y z (fractional)
Tb (0.0000, 0.0000, 0.0000)  12 Ce 3.67, 4 Th 3.83
Ce (0.3754, 0.3754, 0.3754)  6 Ce 3.12-3.14
Ce (0.3754, 0.3754, 0.8737)  6 Ce 3.12-3.14
Ce (0.3754, 0.8737, 0.3754)  6 Ce 3.12-3.14
Ce (0.8737, 0.3754, 0.3754)  6 Ce 3.12-3.14
Th (0.7500, 0.7500, 0.7500)  12 Ce 3.67, 4 Tb 3.83


TbPr2ErS4: optimized geometry, PBE-GGA.

Properties
E ... -6.42 eV per atom
Symmetry ... P2/m, No. 10
E_form (uncorrected) ... -2.01 eV per atom

Unit cell a=6.8640 b=3.9359 c=7.0855 alpha=90.00 beta=108.64 gamma=90.00
With the nearest neighbours (Å) after each atom.
Element x y z (fractional)
Tb (0.0000, 0.0000, 0.0000)  6 S 2.76-2.77
Pr (0.0000, 0.5000, 0.5000)  6 S 2.93
Pr (0.5000, 0.0000, 0.5000)  6 S 2.90
Er (0.5000, 0.5000, 0.0000)  6 S 2.74
S (0.2463, 0.5000, 0.2305)  1 Er 2.74, 2 Tb 2.76, 3 Pr 2.90-2.93
S (0.2605, 0.0000, 0.7715)  2 Er 2.74, 1 Tb 2.77, 3 Pr 2.90-2.93
S (0.7395, 0.0000, 0.2285)  2 Er 2.74, 1 Tb 2.77, 3 Pr 2.90-2.93
S (0.7537, 0.5000, 0.7695)  1 Er 2.74, 2 Tb 2.76, 3 Pr 2.90-2.93


Ti4P2O: optimized geometry, PBE-GGA.

Properties
E ... -8.07 eV per atom
Symmetry ... I4/mmm, No. 139
E_form (uncorrected) ... -1.31 eV per atom

Unit cell a=7.1474 b=7.1474 c=7.1474 alpha=148.60 beta=148.60 gamma=45.00
With the nearest neighbours (Å) after each atom.
Element x y z (fractional)
Ti (0.0000, 0.5000, 0.5000)  2 O 1.93
Ti (0.1745, 0.1745, 0.0000)  1 O 2.30, 1 P 2.46
Ti (0.5000, 0.0000, 0.5000)  2 O 1.93
Ti (0.8255, 0.8255, 0.0000)  1 O 2.30, 1 P 2.46
P (0.3607, 0.3607, 0.0000)  5 Ti 2.46-2.67
P (0.6393, 0.6393, 0.0000)  5 Ti 2.46-2.67
O (0.0000, 0.0000, 0.0000)  4 Ti 1.93


Cu3C5: optimized geometry, PBE-GGA.

Properties
E ... -5.37 eV per atom
Symmetry ... P4/mmm, No. 123
Formation enthalpy at 0 K ... 1.93 eV/atom

Unit cell a=2.4531 b=2.4531 c=11.4336 alpha=90.00 beta=90.00 gamma=90.00
With the nearest neighbours (Å) after each atom.
Element x y z (fractional)
Cu (0.0000, 0.0000, 0.0000)  2 C 2.04
Cu (0.5000, 0.5000, 0.3872)  5 C 2.10-2.16
Cu (0.5000, 0.5000, 0.6128)  5 C 2.10-2.16
C (0.0000, 0.0000, 0.1788)  4 C 1.76
C (0.0000, 0.0000, 0.5000)  8 Cu 2.16
C (0.0000, 0.0000, 0.8212)  4 C 1.76
C (0.5000, 0.5000, 0.2040)  4 C 1.76
C (0.5000, 0.5000, 0.7960)  4 C 1.76


La2ScGaSe5: optimized geometry, PBE-GGA.

Properties
E ... -5.60 eV per atom
Symmetry ... Cmc2_1, No. 36
E_form (uncorrected) ... -1.53 eV per atom

Unit cell a=8.9454 b=8.9454 c=12.6137 alpha=90.00 beta=90.00 gamma=153.15
With the nearest neighbours (Å) after each atom.
Element x y z (fractional)
La (0.1110, 0.8890, 0.5000)  8 Se 3.00-3.35
La (0.1384, 0.8616, 0.1184)  8 Se 3.07-3.26
La (0.8616, 0.1384, 0.6184)  8 Se 3.07-3.26
La (0.8890, 0.1110, 0.0000)  8 Se 3.00-3.35
Sc (0.2066, 0.7934, 0.8307)  6 Se 2.71-2.83
Sc (0.7934, 0.2066, 0.3307)  6 Se 2.71-2.83
Ga (0.4604, 0.5396, 0.2709)  4 Se 2.55-2.77
Ga (0.5396, 0.4604, 0.7709)  4 Se 2.55-2.77
Se (0.0556, 0.9444, 0.8866)  2 Ga 2.55, 1 Sc 2.72
Se (0.2826, 0.7174, 0.4762)  2 Sc 2.78, 3 La 3.00-3.07
Se (0.3150, 0.6850, 0.1818)  1 Ga 2.77, 2 Sc 2.83
Se (0.3620, 0.6380, 0.8138)  1 Sc 2.71
Se (0.4912, 0.5088, 0.5781)  1 Ga 2.57
Se (0.5088, 0.4912, 0.0781)  1 Ga 2.57
Se (0.6380, 0.3620, 0.3138)  1 Sc 2.71
Se (0.6850, 0.3150, 0.6818)  1 Ga 2.77, 2 Sc 2.83
Se (0.7174, 0.2826, 0.9762)  2 Sc 2.78, 3 La 3.00-3.07
Se (0.9444, 0.0556, 0.3866)  2 Ga 2.55, 1 Sc 2.72


Ac4PmY: optimized geometry, PBE-GGA.

Properties
E ... -4.26 eV per atom
Symmetry ... F-43m, No. 216
Formation enthalpy at 0 K ... 0.35 eV/atom

Unit cell a=7.1588 b=7.1588 c=7.1588 alpha=60.00 beta=60.00 gamma=60.00
With the nearest neighbours (Å) after each atom.
Element x y z (fractional)
Ac (0.1255, 0.1255, 0.1255)  6 Ac 3.57-3.59
Ac (0.1255, 0.1255, 0.6236)  6 Ac 3.57-3.59
Ac (0.1255, 0.6236, 0.1255)  6 Ac 3.57-3.59
Ac (0.6236, 0.1255, 0.1255)  6 Ac 3.57-3.59
Pm (0.7500, 0.7500, 0.7500)  12 Ac 4.20, 4 Y 4.38
Y (0.5000, 0.5000, 0.5000)  12 Ac 4.20, 4 Pm 4.38